1.
This record from Alexandria via LeMat-Bulk describes InFeH3 after structural relaxation. The functional is GGA-PBE.

Unit cell a=3.430 b=3.430 c=3.430 alpha=90.00 beta=90.00 gamma=90.00
Sites, in units of the cell vectors:
1 H 0.000 0.500 0.000
2 H 0.000 0.000 0.500
3 H 0.500 0.000 0.000
4 Fe 0.000 0.000 0.000
5 In 0.500 0.500 0.500

Crystal system   cubic
Final energy   -3.97 eV/atom
Excess energy over the best structure of this formula in the dataset   0.000 eV per atom
Space-group type   Pm-3m (221)

---

2.
This record from Alexandria via LeMat-Bulk describes In3FeH after structural relaxation. The functional is GGA-PBE.

Unit cell a=4.403 b=4.403 c=4.403 alpha=90.00 beta=90.00 gamma=90.00
Sites, in units of the cell vectors:
1 H 0.000 0.000 0.000
2 Fe 0.500 0.500 0.500
3 In 0.000 0.500 0.000
4 In 0.000 0.000 0.500
5 In 0.500 0.000 0.000

Crystal system   cubic
Final energy   -3.31 eV/atom
Excess energy over the best structure of this formula in the dataset   0.142 eV per atom
Space-group type   Pm-3m (221)

---

3.
This record from Alexandria via LeMat-Bulk describes InFe2H after structural relaxation. The functional is GGA-PBE.

Unit cell a=4.257 b=4.257 c=4.257 alpha=60.00 beta=60.00 gamma=60.00
Sites, in units of the cell vectors:
1 H 0.000 0.000 0.000
2 Fe 0.250 0.250 0.250
3 Fe 0.750 0.750 0.750
4 In 0.500 0.500 0.500

Crystal system   cubic
Final energy   -4.85 eV/atom
Excess energy over the best structure of this formula in the dataset   0.723 eV per atom
Space-group type   Fm-3m (225)

---

4.
This record from Alexandria via LeMat-Bulk describes InFeH2 after structural relaxation. The functional is GGA-PBE.

Unit cell a=3.912 b=3.912 c=3.912 alpha=60.00 beta=60.00 gamma=60.00
Sites, in units of the cell vectors:
1 H 0.250 0.250 0.250
2 H 0.750 0.750 0.750
3 Fe 0.000 0.000 0.000
4 In 0.500 0.500 0.500

Crystal system   cubic
Final energy   -3.58 eV/atom
Excess energy over the best structure of this formula in the dataset   0.558 eV per atom
Space-group type   Fm-3m (225)

---

5.
This record from Alexandria via LeMat-Bulk describes InFeH2 after structural relaxation. The functional is GGA-PBE.

Unit cell a=4.059 b=4.059 c=5.583 alpha=68.69 beta=68.69 gamma=90.00
Sites, in units of the cell vectors:
1 H 0.426 0.125 0.250
2 H 0.324 0.625 0.250
3 H 0.375 0.574 0.750
4 H 0.875 0.676 0.750
5 Fe 0.500 0.500 0.000
6 Fe 0.250 0.750 0.500
7 In 0.000 0.000 0.000
8 In 0.750 0.250 0.500

Crystal system   tetragonal
Final energy   -4.14 eV/atom
Excess energy over the best structure of this formula in the dataset   0.000 eV per atom
Space-group type   I-42d (122)

---

6.
This record from Alexandria via LeMat-Bulk describes InFeH3 after structural relaxation. The functional is GGA-PBE.

Unit cell a=3.871 b=3.871 c=3.871 alpha=90.00 beta=90.00 gamma=90.00
Sites, in units of the cell vectors:
1 H 0.000 0.500 0.000
2 H 0.000 0.000 0.500
3 H 0.500 0.000 0.000
4 Fe 0.500 0.500 0.500
5 In 0.000 0.000 0.000

Crystal system   cubic
Final energy   -3.25 eV/atom
Excess energy over the best structure of this formula in the dataset   0.722 eV per atom
Space-group type   Pm-3m (221)

---

7.
This record from Alexandria via LeMat-Bulk describes In3FeH after structural relaxation. The functional is GGA-PBE.

Unit cell a=4.985 b=4.985 c=4.985 alpha=90.00 beta=90.00 gamma=90.00
Sites, in units of the cell vectors:
1 H 0.500 0.500 0.500
2 Fe 0.000 0.000 0.000
3 In 0.000 0.500 0.000
4 In 0.000 0.000 0.500
5 In 0.500 0.000 0.000

Crystal system   cubic
Final energy   -3.45 eV/atom
Excess energy over the best structure of this formula in the dataset   0.000 eV per atom
Space-group type   Pm-3m (221)

---

8.
This record from Alexandria via LeMat-Bulk describes InFe2HIr after structural relaxation. The functional is GGA-PBE.

Unit cell a=3.920 b=3.920 c=3.958 alpha=90.00 beta=90.00 gamma=90.00
Sites, in units of the cell vectors:
1 H 0.000 0.000 0.000
2 Ir 0.000 0.000 0.500
3 Fe 0.000 0.500 0.000
4 Fe 0.500 0.000 0.000
5 In 0.500 0.500 0.500

Crystal system   tetragonal
Final energy   -6.31 eV/atom
Space-group type   P4/mmm (123)

---

9.
This record from Alexandria via LeMat-Bulk describes InFeH6Ir2 after structural relaxation. The functional is GGA-PBE.

Unit cell a=5.603 b=5.603 c=5.688 alpha=98.50 beta=98.50 gamma=99.29
Sites, in units of the cell vectors:
1 In 0.153 0.847 0.250
2 In 0.847 0.153 0.750
3 Fe 0.588 0.412 0.250
4 Fe 0.412 0.588 0.750
5 H 0.872 0.431 0.143
6 H 0.569 0.128 0.357
7 H 0.128 0.569 0.857
8 H 0.431 0.872 0.643
9 H 0.224 0.273 0.091
10 H 0.727 0.776 0.409
11 H 0.776 0.727 0.909
12 H 0.273 0.224 0.591
13 H 0.354 0.535 0.418
14 H 0.465 0.646 0.082
15 H 0.646 0.465 0.582
16 H 0.535 0.354 0.918
17 Ir 0.340 0.079 0.834
18 Ir 0.921 0.660 0.666
19 Ir 0.660 0.921 0.166
20 Ir 0.079 0.340 0.334

Crystal system   monoclinic
Final energy   -4.76 eV/atom
Space-group type   C2/c (15)

---

10.
This record from Alexandria via LeMat-Bulk describes LiInFe2H after structural relaxation. The functional is GGA-PBE.

Unit cell a=3.692 b=3.692 c=4.221 alpha=90.00 beta=90.00 gamma=90.00
Sites, in units of the cell vectors:
1 H 0.000 0.000 0.000
2 Li 0.000 0.000 0.500
3 Fe 0.000 0.500 0.000
4 Fe 0.500 0.000 0.000
5 In 0.500 0.500 0.500

Crystal system   tetragonal
Final energy   -4.98 eV/atom
Space-group type   P4/mmm (123)

---

11.
This record from Alexandria via LeMat-Bulk describes LiInFeH6 after structural relaxation. The functional is GGA-PBE.

Unit cell a=4.502 b=4.499 c=4.104 alpha=89.91 beta=89.99 gamma=60.05
Sites, in units of the cell vectors:
1 Li 0.667 0.667 0.500
2 In 0.000 0.000 0.000
3 Fe 0.333 0.333 0.500
4 H 0.036 0.364 0.264
5 H 0.364 0.036 0.736
6 H 0.599 0.363 0.736
7 H 0.037 0.600 0.735
8 H 0.364 0.599 0.264
9 H 0.599 0.038 0.265

Crystal system   monoclinic
Final energy   -3.60 eV/atom
Space-group type   C2 (5)

---

12.
This record from Alexandria via LeMat-Bulk describes NaInFeH2 after structural relaxation. The functional is GGA-PBE.

Unit cell a=3.850 b=5.477 c=3.850 alpha=90.00 beta=90.00 gamma=90.00
Sites, in units of the cell vectors:
1 Na 0.000 0.500 0.000
2 Fe 0.000 0.000 0.000
3 H 0.000 0.000 0.500
4 H 0.500 0.000 0.000
5 In 0.500 0.500 0.500

Crystal system   tetragonal
Final energy   -3.08 eV/atom
Space-group type   P4/mmm (123)

---

13.
This record from Alexandria via LeMat-Bulk describes InFeNi2H after structural relaxation. The functional is GGA-PBE.

Unit cell a=3.771 b=3.771 c=3.864 alpha=90.00 beta=90.00 gamma=90.00
Sites, in units of the cell vectors:
1 Ni 0.000 0.500 0.000
2 Ni 0.500 0.000 0.000
3 Fe 0.000 0.000 0.500
4 H 0.000 0.000 0.000
5 In 0.500 0.500 0.500

Crystal system   tetragonal
Final energy   -5.22 eV/atom
Space-group type   P4/mmm (123)

---

14.
This record from Alexandria via LeMat-Bulk describes InFeHPd2 after structural relaxation. The functional is GGA-PBE.

Unit cell a=4.027 b=4.027 c=4.031 alpha=90.00 beta=90.00 gamma=90.00
Sites, in units of the cell vectors:
1 H 0.000 0.000 0.000
2 Fe 0.000 0.000 0.500
3 Pd 0.000 0.500 0.000
4 Pd 0.500 0.000 0.000
5 In 0.500 0.500 0.500

Crystal system   tetragonal
Final energy   -5.13 eV/atom
Space-group type   P4/mmm (123)

---

15.
This record from Alexandria via LeMat-Bulk describes InFe2HPd after structural relaxation. The functional is GGA-PBE.

Unit cell a=3.812 b=3.812 c=4.222 alpha=90.00 beta=90.00 gamma=90.00
Sites, in units of the cell vectors:
1 H 0.000 0.000 0.000
2 Fe 0.000 0.500 0.000
3 Fe 0.500 0.000 0.000
4 Pd 0.000 0.000 0.500
5 In 0.500 0.500 0.500

Crystal system   tetragonal
Final energy   -5.66 eV/atom
Space-group type   P4/mmm (123)

---

16.
This record from Alexandria via LeMat-Bulk describes InFeHPt2 after structural relaxation. The functional is GGA-PBE.

Unit cell a=4.012 b=4.012 c=4.134 alpha=90.00 beta=90.00 gamma=90.00
Sites, in units of the cell vectors:
1 H 0.000 0.000 0.000
2 Fe 0.000 0.000 0.500
3 Pt 0.000 0.500 0.000
4 Pt 0.500 0.000 0.000
5 In 0.500 0.500 0.500

Crystal system   tetragonal
Final energy   -5.42 eV/atom
Space-group type   P4/mmm (123)

---

17.
This record from Alexandria via LeMat-Bulk describes Rb2InFeH after structural relaxation. The functional is GGA-PBE.

Unit cell a=6.972 b=5.022 c=6.972 alpha=90.00 beta=90.00 gamma=90.00
Sites, in units of the cell vectors:
1 H 0.500 0.500 0.500
2 Fe 0.000 0.500 0.000
3 Rb 0.000 0.000 0.500
4 Rb 0.500 0.000 0.000
5 In 0.000 0.000 0.000

Crystal system   tetragonal
Final energy   -2.48 eV/atom
Space-group type   P4/mmm (123)

---

18.
This record from Alexandria via LeMat-Bulk describes InFeHRu2 after structural relaxation. The functional is GGA-PBE.

Unit cell a=4.082 b=4.082 c=3.757 alpha=90.00 beta=90.00 gamma=90.00
Sites, in units of the cell vectors:
1 Ru 0.000 0.500 0.000
2 Ru 0.500 0.000 0.000
3 Fe 0.000 0.000 0.500
4 H 0.000 0.000 0.000
5 In 0.500 0.500 0.500

Crystal system   tetragonal
Final energy   -6.46 eV/atom
Space-group type   P4/mmm (123)

---

19.
This record from Alexandria via LeMat-Bulk describes InFe2HRu after structural relaxation. The functional is GGA-PBE.

Unit cell a=3.899 b=3.899 c=3.971 alpha=90.00 beta=90.00 gamma=90.00
Sites, in units of the cell vectors:
1 Ru 0.000 0.000 0.500
2 Fe 0.000 0.500 0.000
3 Fe 0.500 0.000 0.000
4 H 0.000 0.000 0.000
5 In 0.500 0.500 0.500

Crystal system   tetragonal
Final energy   -6.36 eV/atom
Space-group type   P4/mmm (123)

---

20.
This record from Alexandria via LeMat-Bulk describes InFeH2Ru after structural relaxation. The functional is GGA-PBE.

Unit cell a=3.617 b=5.212 c=3.617 alpha=90.00 beta=90.00 gamma=90.00
Sites, in units of the cell vectors:
1 Ru 0.500 0.500 0.500
2 Fe 0.000 0.000 0.000
3 H 0.000 0.000 0.500
4 H 0.500 0.000 0.000
5 In 0.000 0.500 0.000

Crystal system   tetragonal
Final energy   -4.51 eV/atom
Space-group type   P4/mmm (123)